No. 1
{
  "formula": "YTmI3",
  "functional": "GGA-PBE",
  "state": "relaxed",
  "lattice": [[-0.320, -2.639, 3.056], [10.226, -1.058, 2.841], [4.802, 6.800, 9.060]],
  "species": ["I", "I", "I", "I", "I", "I", "Tm", "Tm", "Y", "Y"],
  "fractional_positions": [[0.926, 0.384, 0.765], [0.186, 0.764, 0.865], [0.074, 0.616, 0.235], [0.365, 0.815, 0.456], [0.635, 0.185, 0.544], [0.814, 0.236, 0.135], [0.430, 0.168, 0.973], [0.570, 0.832, 0.027], [0.072, 0.096, 0.759], [0.928, 0.904, 0.241]],
  "dos_at_fermi_per_ev_fu": 0.1,
  "formation_energy_uncorrected_ev_per_atom": -1.1019,
  "space_group": "C2/m (12)"
}

***

No. 2
{
  "formula": "YTm2I",
  "functional": "GGA-PBE",
  "state": "relaxed",
  "lattice": [[3.721, 0.000, 0.000], [1.861, 3.223, 0.000], [1.861, 1.074, 10.358]],
  "species": ["I", "Y", "Tm", "Tm"],
  "fractional_positions": [[0.000, 0.000, 0.000], [0.500, 0.500, 0.500], [0.746, 0.746, 0.763], [0.254, 0.254, 0.237]],
  "dos_at_fermi_per_ev_fu": 5.0,
  "formation_energy_uncorrected_ev_per_atom": -0.3144,
  "space_group": "R-3m (166)"
}

***

No. 3
{
  "formula": "Y2TmI",
  "functional": "GGA-PBE",
  "state": "relaxed",
  "lattice": [[3.740, 0.000, 0.000], [1.870, 3.239, 0.000], [1.870, 1.080, 10.421]],
  "species": ["Y", "Y", "I", "Tm"],
  "fractional_positions": [[0.746, 0.746, 0.762], [0.254, 0.254, 0.238], [0.000, 0.000, 0.000], [0.500, 0.500, 0.500]],
  "dos_at_fermi_per_ev_fu": 5.1,
  "e_above_lowest_polymorph_mev_per_atom": 15,
  "formation_energy_uncorrected_ev_per_atom": -0.3437,
  "space_group": "R-3m (166)"
}

***

No. 4
{
  "formula": "YTmI",
  "functional": "GGA-PBE",
  "state": "relaxed",
  "lattice": [[-2.104, -4.378, 2.435], [2.750, 0.083, 2.527], [-3.873, 5.638, 6.791]],
  "species": ["Y", "Y", "I", "I", "Tm", "Tm"],
  "fractional_positions": [[0.250, 0.123, 0.754], [0.750, 0.877, 0.246], [0.250, 0.301, 0.397], [0.750, 0.699, 0.603], [0.250, 0.463, 0.073], [0.750, 0.537, 0.927]],
  "dos_at_fermi_per_ev_fu": 2.8,
  "e_above_lowest_polymorph_mev_per_atom": 128,
  "formation_energy_uncorrected_ev_per_atom": -0.3801,
  "space_group": "Cmcm (63)"
}

***

No. 5
{
  "formula": "YTmI",
  "functional": "GGA-PBE",
  "state": "relaxed",
  "lattice": [[-3.115, 1.713, -1.382], [-0.276, -2.312, 3.020], [1.173, 5.809, 4.555]],
  "species": ["I", "Tm", "Y"],
  "fractional_positions": [[0.667, 0.333, 0.333], [0.000, 0.000, 0.007], [0.333, 0.667, 0.660]],
  "dos_at_fermi_per_ev_fu": 3.9,
  "e_above_lowest_polymorph_mev_per_atom": 0,
  "formation_energy_uncorrected_ev_per_atom": -0.5076,
  "space_group": "P3m1 (156)"
}

***

No. 6
{
  "formula": "Y2TmI",
  "functional": "GGA-PBE",
  "state": "relaxed",
  "lattice": [[3.764, 0.000, 0.000], [1.882, 3.260, 0.000], [1.882, 1.087, 10.326]],
  "species": ["Tm", "Y", "Y", "I"],
  "fractional_positions": [[0.500, 0.500, 0.501], [0.254, 0.254, 0.239], [0.080, 0.080, 0.760], [0.667, 0.667, 0.000]],
  "dos_at_fermi_per_ev_fu": 5.9,
  "e_above_lowest_polymorph_mev_per_atom": 0,
  "formation_energy_uncorrected_ev_per_atom": -0.3587,
  "space_group": "R3m (160)"
}

***

No. 7
{
  "formula": "TmZn2I6",
  "functional": "GGA-PBE",
  "state": "relaxed",
  "lattice": [[7.655, 0.000, 0.000], [3.827, 6.629, 0.000], [3.827, 2.210, 7.954]],
  "species": ["Zn", "Zn", "I", "I", "I", "I", "I", "I", "Tm"],
  "fractional_positions": [[0.614, 0.614, 0.159], [0.719, 0.719, 0.843], [0.939, 0.264, 0.238], [0.264, 0.559, 0.238], [0.717, 0.423, 0.763], [0.097, 0.717, 0.763], [0.559, 0.939, 0.238], [0.423, 0.097, 0.763], [0.333, 0.333, 0.000]],
  "dos_at_fermi_per_ev_fu": 1.5,
  "formation_energy_uncorrected_ev_per_atom": -0.7836,
  "space_group": "R3 (146)"
}

***

No. 8
{
  "formula": "TmZnI",
  "functional": "GGA-PBE",
  "state": "relaxed",
  "lattice": [[-1.047, 3.899, -1.511], [-2.518, 0.558, 3.182], [9.030, 2.633, 6.684]],
  "species": ["I", "I", "Tm", "Tm", "Zn", "Zn"],
  "fractional_positions": [[0.168, 0.250, 0.335], [0.832, 0.750, 0.665], [0.930, 0.250, 0.861], [0.070, 0.750, 0.139], [0.472, 0.750, 0.943], [0.528, 0.250, 0.057]],
  "dos_at_fermi_per_ev_fu": 1.7,
  "formation_energy_uncorrected_ev_per_atom": -0.6089,
  "space_group": "Cmcm (63)"
}

***

No. 9
{
  "formula": "Tm2ZrI",
  "functional": "GGA-PBE",
  "state": "relaxed",
  "lattice": [[-0.506, -2.451, -2.627], [-1.692, -3.124, 0.735], [-9.464, 2.344, -2.869]],
  "species": ["Tm", "Tm", "Zr", "I"],
  "fractional_positions": [[0.750, 0.750, 0.750], [0.250, 0.250, 0.250], [0.500, 0.500, 0.500], [0.000, 0.000, 0.000]],
  "dos_at_fermi_per_ev_fu": 5.1,
  "formation_energy_uncorrected_ev_per_atom": -0.2498,
  "space_group": "R-3m (166)"
}

***

No. 10
{
  "formula": "U2I13",
  "functional": "GGA-PBE",
  "state": "relaxed",
  "lattice": [[-3.345, -4.145, -6.724], [-4.206, -3.667, 7.984], [-4.166, 10.907, -5.077]],
  "species": ["I", "I", "I", "I", "I", "I", "I", "I", "I", "I", "I", "I", "I", "U", "U"],
  "fractional_positions": [[0.298, 0.255, 0.505], [0.527, 0.793, 0.812], [0.602, 0.656, 0.092], [0.398, 0.344, 0.908], [0.845, 0.203, 0.821], [0.155, 0.797, 0.179], [0.000, 0.000, 0.000], [0.142, 0.457, 0.330], [0.824, 0.049, 0.322], [0.176, 0.951, 0.678], [0.858, 0.543, 0.670], [0.473, 0.207, 0.188], [0.702, 0.745, 0.495], [0.156, 0.131, 0.261], [0.844, 0.869, 0.739]],
  "dos_at_fermi_per_ev_fu": 14.4,
  "formation_energy_uncorrected_ev_per_atom": -0.5690,
  "space_group": "P-1 (2)"
}

***

No. 11
{
  "formula": "UI6",
  "functional": "GGA-PBE",
  "state": "relaxed",
  "lattice": [[7.666, 0.000, 0.000], [0.000, 13.228, 0.000], [0.000, 0.000, 14.524]],
  "species": ["U", "U", "U", "U", "I", "I", "I", "I", "I", "I", "I", "I", "I", "I", "I", "I", "I", "I", "I", "I", "I", "I", "I", "I", "I", "I", "I", "I"],
  "fractional_positions": [[0.593, 0.750, 0.871], [0.907, 0.750, 0.371], [0.093, 0.250, 0.629], [0.407, 0.250, 0.129], [0.430, 0.904, 0.760], [0.245, 0.096, 0.018], [0.296, 0.750, 0.993], [0.755, 0.596, 0.982], [0.888, 0.750, 0.750], [0.430, 0.596, 0.760], [0.255, 0.404, 0.518], [0.930, 0.404, 0.740], [0.070, 0.904, 0.260], [0.612, 0.750, 0.250], [0.570, 0.096, 0.240], [0.704, 0.250, 0.007], [0.745, 0.596, 0.482], [0.112, 0.250, 0.250], [0.204, 0.750, 0.493], [0.745, 0.904, 0.482], [0.255, 0.096, 0.518], [0.388, 0.250, 0.750], [0.755, 0.904, 0.982], [0.570, 0.404, 0.240], [0.245, 0.404, 0.018], [0.930, 0.096, 0.740], [0.796, 0.250, 0.507], [0.070, 0.596, 0.260]],
  "formation_energy_uncorrected_ev_per_atom": -0.6420,
  "space_group": "Pnma (62)"
}

***

No. 12
{
  "formula": "UI5",
  "functional": "GGA-PBE",
  "state": "relaxed",
  "lattice": [[5.624, 0.000, 2.340], [2.812, 7.321, 1.170], [0.000, 0.000, 7.929]],
  "species": ["I", "I", "I", "I", "I", "U"],
  "fractional_positions": [[0.500, 0.000, 0.000], [0.066, 0.664, 0.204], [0.270, 0.796, 0.664], [0.730, 0.204, 0.336], [0.934, 0.336, 0.796], [0.000, 0.000, 0.000]],
  "dos_at_fermi_per_ev_fu": 1.9,
  "formation_energy_uncorrected_ev_per_atom": -0.7003,
  "space_group": "I4/m (87)"
}

***

no.,volume (A^3/atom)
1,44.6
2,31.1
3,31.6
4,32.0
5,31.4
6,31.7
7,44.8
8,33.4
9,28.3
10,57.8
11,52.6
12,54.4